Density functional theory data (PBE) for crystalline HoGa2Pd at its relaxed geometry.

a = 4.4151 Å, b = 5.5275 Å, c = 6.6258 Å
α = 90.00°, β = 90.00°, γ = 113.62°
Element x y z (fractional)
1 Ga 0.3723 0.7450 0.4470
2 Ga 0.6277 0.2550 0.5530
3 Ga 0.6277 0.2550 0.9470
4 Ga 0.3723 0.7450 0.0530
5 Ho 0.0879 0.1762 0.2500
6 Ho 0.9121 0.8238 0.7500
7 Pd 0.7987 0.5983 0.2500
8 Pd 0.2013 0.4017 0.7500

Calculated values
Volume ... 18.52 Å³ per atom
Total magnetic moment ... 0.00 Bohr magnetons per cell
Formation energy ... -799 meV/atom

=====

Density functional theory data (PBE) for crystalline Ho3Ga7Pd2 at its relaxed geometry.

a = 4.1789 Å, b = 4.2096 Å, c = 13.4836 Å
α = 98.89°, β = 90.00°, γ = 90.00°
Element x y z (fractional)
1 Ho 0.5000 0.5000 0.0000
2 Ho 0.0000 0.1832 0.3626
3 Ho 0.0000 0.8168 0.6374
4 Ga 0.5000 0.7252 0.4500
5 Ga 0.5000 0.2748 0.5500
6 Ga 0.0000 0.5829 0.1606
7 Ga 0.0000 0.0000 0.0000
8 Ga 0.0000 0.4171 0.8394
9 Ga 0.5000 0.9197 0.8386
10 Ga 0.5000 0.0803 0.1614
11 Pd 0.5000 0.6316 0.2649
12 Pd 0.5000 0.3684 0.7351

Calculated values
Volume ... 19.53 Å³ per atom
Total magnetic moment ... 0.00 Bohr magnetons per cell
Formation energy ... -664 meV/atom

=====

Density functional theory data (PBE) for crystalline Ho3Ga4Pd4 at its relaxed geometry.

a = 4.1569 Å, b = 7.1533 Å, c = 8.1971 Å
α = 115.87°, β = 104.69°, γ = 90.00°
Element x y z (fractional)
1 Ho 0.1258 0.1258 0.2516
2 Ho 0.8742 0.8742 0.7484
3 Ho 0.0000 0.5000 0.0000
4 Ga 0.3262 0.1261 0.6524
5 Ga 0.6738 0.4737 0.3476
6 Ga 0.6738 0.8739 0.3476
7 Ga 0.3262 0.5263 0.6524
8 Pd 0.2126 0.7126 0.4253
9 Pd 0.7874 0.2874 0.5747
10 Pd 0.5000 0.8019 0.0000
11 Pd 0.5000 0.1981 0.0000

Calculated values
Distance to the lowest polymorph of the same formula ... 0 meV/atom
Volume ... 19.13 Å³ per atom
Total magnetic moment ... 0.00 Bohr magnetons per cell
Formation energy ... -838 meV/atom

=====

Density functional theory data (PBE) for crystalline Ho3Ga3Pd at its relaxed geometry.

a = 4.3220 Å, b = 5.7528 Å, c = 13.5776 Å
α = 84.62°, β = 80.84°, γ = 67.94°
Element x y z (fractional)
1 Ho 0.5311 0.3182 0.6195
2 Ho 0.4689 0.6818 0.3805
3 Ho 0.2617 0.2452 0.2314
4 Ho 0.7383 0.7548 0.7686
5 Ho 0.3938 0.2870 0.9255
6 Ho 0.6062 0.7130 0.0745
7 Ga 0.8669 0.7266 0.5396
8 Ga 0.1331 0.2734 0.4604
9 Ga 0.1098 0.8564 0.9239
10 Ga 0.8902 0.1436 0.0761
11 Ga 0.9744 0.8220 0.2292
12 Ga 0.0256 0.1780 0.7708
13 Pd 0.7547 0.1003 0.3902
14 Pd 0.2453 0.8997 0.6098

Calculated values
Volume ... 22.05 Å³ per atom
Total magnetic moment ... 0.00 Bohr magnetons per cell
Formation energy ... -728 meV/atom

=====

Density functional theory data (PBE) for crystalline Ho3Ga2Pd at its relaxed geometry.

a = 4.4050 Å, b = 10.9843 Å, c = 11.6281 Å
α = 90.00°, β = 90.00°, γ = 90.00°
Element x y z (fractional)
1 Ho 0.2500 0.3717 0.0472
2 Ho 0.7500 0.6283 0.9528
3 Ho 0.7500 0.8717 0.4528
4 Ho 0.2500 0.1283 0.5472
5 Ho 0.2500 0.6871 0.2182
6 Ho 0.7500 0.3129 0.7818
7 Ho 0.7500 0.1871 0.2818
8 Ho 0.2500 0.8129 0.7182
9 Ho 0.2500 0.4323 0.3772
10 Ho 0.7500 0.5677 0.6228
11 Ho 0.7500 0.9323 0.1228
12 Ho 0.2500 0.0677 0.8772
13 Ga 0.2500 0.6928 0.4845
14 Ga 0.7500 0.3072 0.5155
15 Ga 0.7500 0.1928 0.0155
16 Ga 0.2500 0.8072 0.9845
17 Ga 0.2500 0.9807 0.3128
18 Ga 0.7500 0.0193 0.6872
19 Ga 0.7500 0.4807 0.1872
20 Ga 0.2500 0.5193 0.8128
21 Pd 0.2500 0.1163 0.1249
22 Pd 0.7500 0.8837 0.8751
23 Pd 0.7500 0.6163 0.3751
24 Pd 0.2500 0.3837 0.6249

Calculated values
Volume ... 23.44 Å³ per atom
Total magnetic moment ... 0.00 Bohr magnetons per cell
Formation energy ... -671 meV/atom

=====

Density functional theory data (PBE) for crystalline Ho8GaPd2 at its relaxed geometry.

a = 5.0670 Å, b = 6.7987 Å, c = 9.1413 Å
α = 106.09°, β = 106.09°, γ = 90.00°
Element x y z (fractional)
1 Ho 0.4064 0.5364 0.8128
2 Ho 0.6717 0.9814 0.3435
3 Ho 0.8005 0.6770 0.6010
4 Ho 0.9676 0.2185 0.9351
5 Ho 0.1995 0.3230 0.3990
6 Ho 0.3283 0.0186 0.6565
7 Ho 0.5936 0.4636 0.1872
8 Ho 0.0324 0.7815 0.0649
9 Ga 0.5000 0.0000 0.0000
10 Pd 0.8174 0.2809 0.6349
11 Pd 0.1826 0.7191 0.3651

Calculated values
Distance to the lowest polymorph of the same formula ... 0 meV/atom
Volume ... 26.34 Å³ per atom
Total magnetic moment ... 0.00 Bohr magnetons per cell
Formation energy ... -440 meV/atom

=====

Density functional theory data (PBE) for crystalline Ho2Ga5Pd4 at its relaxed geometry.

a = 5.3601 Å, b = 5.2744 Å, c = 8.7425 Å
α = 81.04°, β = 72.15°, γ = 59.46°
Element x y z (fractional)
1 Ho 0.8775 0.0000 0.2450
2 Ho 0.1225 0.0000 0.7550
3 Ga 0.5000 0.0000 0.0000
4 Ga 0.0000 0.5000 0.0000
5 Ga 0.5000 0.5000 0.0000
6 Ga 0.2500 0.5000 0.5000
7 Ga 0.7500 0.5000 0.5000
8 Pd 0.4681 0.3242 0.7396
9 Pd 0.5319 0.6758 0.2604
10 Pd 0.2077 0.3242 0.2604
11 Pd 0.7923 0.6758 0.7396

Calculated values
Volume ... 18.42 Å³ per atom
Total magnetic moment ... 0.00 Bohr magnetons per cell
Formation energy ... -734 meV/atom

=====

Density functional theory data (PBE) for crystalline Ho4GaPd at its relaxed geometry.

a = 5.1466 Å, b = 6.2615 Å, c = 10.6700 Å
α = 90.00°, β = 103.96°, γ = 90.00°
Element x y z (fractional)
1 Ho 0.8846 0.2933 0.7691
2 Ho 0.1154 0.7933 0.2309
3 Ho 0.4430 0.8522 0.8860
4 Ho 0.5570 0.3522 0.1140
5 Ho 0.7116 0.5559 0.4232
6 Ho 0.2884 0.0559 0.5768
7 Ho 0.6910 0.0693 0.3820
8 Ho 0.3090 0.5693 0.6180
9 Ga 0.8406 0.8172 0.6813
10 Ga 0.1594 0.3172 0.3187
11 Pd 0.5754 0.8455 0.1508
12 Pd 0.4246 0.3455 0.8492

Calculated values
Volume ... 27.81 Å³ per atom
Total magnetic moment ... 0.00 Bohr magnetons per cell
Formation energy ... -326 meV/atom

=====

Density functional theory data (PBE) for crystalline HoGa6Pd12 at its relaxed geometry.

a = 7.2194 Å, b = 7.2194 Å, c = 7.2194 Å
α = 106.09°, β = 106.09°, γ = 106.09°
Element x y z (fractional)
1 Ho 0.0000 0.0000 0.0000
2 Ga 0.7046 0.2694 0.2694
3 Ga 0.2694 0.2694 0.7046
4 Ga 0.2694 0.7046 0.2694
5 Ga 0.7306 0.7306 0.2954
6 Ga 0.2954 0.7306 0.7306
7 Ga 0.7306 0.2954 0.7306
8 Pd 0.8792 0.1208 0.5000
9 Pd 0.8450 0.5995 0.5995
10 Pd 0.5995 0.5995 0.8450
11 Pd 0.4005 0.1550 0.4005
12 Pd 0.4005 0.4005 0.1550
13 Pd 0.1550 0.4005 0.4005
14 Pd 0.1208 0.5000 0.8792
15 Pd 0.5000 0.8792 0.1208
16 Pd 0.1208 0.8792 0.5000
17 Pd 0.8792 0.5000 0.1208
18 Pd 0.5000 0.1208 0.8792
19 Pd 0.5995 0.8450 0.5995

Calculated values
Volume ... 16.89 Å³ per atom
Total magnetic moment ... 0.00 Bohr magnetons per cell
Formation energy ... -564 meV/atom

=====

Density functional theory data (PBE) for crystalline Ho4GaPd3 at its relaxed geometry.

a = 3.7381 Å, b = 4.4836 Å, c = 10.7265 Å
α = 90.00°, β = 90.00°, γ = 90.00°
Element x y z (fractional)
1 Ho 0.5000 0.5000 0.3656
2 Ho 0.0000 0.5000 0.8536
3 Ho 0.0000 0.0000 0.1417
4 Ho 0.5000 0.0000 0.6375
5 Ga 0.5000 0.5000 0.0790
6 Pd 0.0000 0.5000 0.5859
7 Pd 0.0000 0.0000 0.4156
8 Pd 0.5000 0.0000 0.9210

Calculated values
Volume ... 22.47 Å³ per atom
Total magnetic moment ... 0.00 Bohr magnetons per cell
Formation energy ... -848 meV/atom

=====

no.,final energy (eV per atom)
1,-4.7555
2,-4.4396
3,-5.0751
4,-4.7294
5,-4.8339
6,-4.9889
7,-4.8301
8,-4.7477
9,-5.0403
10,-5.4630